Record 1
VASP calculation (PBE) on a relaxed TbCe4Tm crystal.

The calculation puts the energy of formation from the pure elements at 0.209 eV per atom.

The structure belongs to space group F-43m (No. 216); the cell edges are 8.9108, 8.9108 and 8.9108 Å and the angles 90.00°, 90.00° and 90.00°. The asymmetric unit holds Tb at (0.0000, 0.0000, 0.0000), Ce at (0.1223, 0.1223, 0.3777) and Tm at (0.2500, 0.2500, 0.7500).

Record 2
VASP calculation (PBE) on a relaxed Tb4Ce2Tm5 crystal.

The calculation puts the energy of formation from the pure elements at 0.136 eV per atom.

The structure belongs to space group C2/m (No. 12); the cell edges are 22.5467, 3.4727 and 8.8116 Å and the angles 90.00°, 90.41° and 90.00°. The asymmetric unit holds Tb at (0.0826, 0.0000, 0.2289), Tb at (0.2384, 0.0000, 0.3291), Ce at (0.0474, 0.5000, 0.8931), Tm at (0.0000, 0.5000, 0.5000), Tm at (0.1272, 0.0000, 0.6034) and Tm at (0.1859, 0.0000, 0.9491).

Record 3
VASP calculation (PBE) on a relaxed Tb2CeTm6 crystal.

The calculation puts the energy of formation from the pure elements at 0.128 eV per atom. The calculation puts the distance to the lowest polymorph of the same formula at 95 meV/atom.

The structure belongs to space group C2/c (No. 15); the cell edges are 12.7233, 13.7505 and 6.4909 Å and the angles 90.00°, 101.83° and 90.00°. The asymmetric unit holds Tb at (0.1398, 0.0266, 0.3685), Ce at (0.0000, 0.3795, 0.2500), Tm at (0.0312, 0.1896, 0.9988), Tm at (0.1342, 0.4163, 0.8175) and Tm at (0.2425, 0.2013, 0.7357).

Record 4
VASP calculation (PBE) on a relaxed Tb7Ce2Tm2 crystal.

The calculation puts the energy of formation from the pure elements at 0.205 eV per atom.

The structure belongs to space group C2/m (No. 12); the cell edges are 11.0436, 11.5830 and 5.9701 Å and the angles 90.00°, 112.49° and 90.00°. The asymmetric unit holds Tb at (0.0000, 0.0000, 0.0000), Tb at (0.0918, 0.5000, 0.8069), Tb at (0.1726, 0.2391, 0.1758), Ce at (0.0000, 0.2142, 0.5000) and Tm at (0.2294, 0.0000, 0.5840).

Record 5
VASP calculation (PBE) on a relaxed TbCeTm2 crystal.

The calculation puts the energy of formation from the pure elements at 0.065 eV per atom. The calculation puts the distance to the lowest polymorph of the same formula at 25 meV/atom.

The structure belongs to space group P4/mmm (No. 123); the cell edges are 4.9749, 4.9749 and 4.9243 Å and the angles 90.00°, 90.00° and 90.00°. The asymmetric unit holds Tb at (0.0000, 0.0000, 0.0000), Ce at (0.5000, 0.5000, 0.0000) and Tm at (0.0000, 0.5000, 0.5000).

Record 6
VASP calculation (PBE) on a relaxed TbCeTm4 crystal.

The calculation puts the energy of formation from the pure elements at 0.019 eV per atom. The calculation puts the distance to the lowest polymorph of the same formula at 0 meV/atom.

The structure belongs to space group C2/m (No. 12); the cell edges are 16.9914, 3.5263 and 6.1134 Å and the angles 90.00°, 96.85° and 90.00°. The asymmetric unit holds Tb at (0.0000, 0.0000, 0.0000), Ce at (0.0000, 0.5000, 0.5000), Tm at (0.1667, 0.0000, 0.3915) and Tm at (0.1679, 0.5000, 0.8870).